Record 1
Computed, not measured: a relaxed AlSnBiPt2 crystal at the PBEsol level of DFT.

Properties
As for the energy of formation: 1.09 eV per atom. Its density is 8.6 g/cm3.

Cell: 5.0403 5.0403 5.6889 Å, 90.00 90.00 90.00°
Space group P4/mmm (No. 123)
Inequivalent atoms, fractional coordinates:
Al 0.0000 0.0000 0.0000 x1
Sn 0.5000 0.5000 0.0000 x1
Bi 0.5000 0.5000 0.5000 x1
Pt 0.0000 0.5000 0.5000 x2



Record 2
Computed, not measured: a relaxed BaMgPt2 crystal at the PBEsol level of DFT.

Properties
As for the energy of formation: -0.50 eV per atom. Its density is 9.1 g/cm3.

Cell: 4.5208 4.5208 17.1313 Å, 90.00 90.00 120.00°
Space group R3m (No. 160, hexagonal axes)
Inequivalent atoms, fractional coordinates:
Ba 0.0000 0.0000 0.0000 x3
Mg 0.0000 0.0000 0.8133 x3
Pt 0.0000 0.0000 0.2009 x3
Pt 0.0000 0.0000 0.5311 x3



Record 3
Computed, not measured: a relaxed CaLaW2Au crystal at the PBEsol level of DFT.

Properties
As for the energy of formation: 2.43 eV per atom. Its density is 11.0 g/cm3.

Cell: 4.6831 4.6831 5.1016 Å, 90.00 90.00 90.00°
Space group P4/mmm (No. 123)
Inequivalent atoms, fractional coordinates:
Ca 0.0000 0.0000 0.0000 x1
La 0.0000 0.0000 0.5000 x1
W 0.0000 0.5000 0.0000 x2
Au 0.5000 0.5000 0.5000 x1



Record 4
Computed, not measured: a relaxed Cr4TcW crystal at the PBEsol level of DFT.

Properties
As for the energy of formation: 0.07 eV per atom. Its density is 10.9 g/cm3.

Cell: 6.6808 6.6808 6.6808 Å, 90.00 90.00 90.00°
Space group F-43m (No. 216)
Inequivalent atoms, fractional coordinates:
Cr 0.1243 0.1243 0.3757 x16
Tc 0.0000 0.0000 0.0000 x4
W 0.2500 0.2500 0.7500 x4



Record order is preserved below.
Total energy: -21.10; -19.78; -26.87; -65.64 eV per formula unit